The following is a PBE-GGA calculation of an optimized crystal structure of LiTiIN2, from Alexandria.

a b c (Å): 3.9006 3.9006 4.7725
angles (deg): 90.00 90.00 90.00
Site moments in Bohr magnetons follow the coordinates.
Fractional coordinates of all 5 atoms:
I  0.0000  0.0000  0.5000  0.03
N  0.0000  0.5000  0.0000  0.17
N  0.5000  0.0000  0.0000  0.17
Li  0.0000  0.0000  0.0000  0.01
Ti  0.5000  0.5000  0.5000  0.13

Output
V = 14.5 A^3/atom
energy above the lowest structure with this stoichiometry = 1540 meV/atom
energy relative to the elements, uncorrected = 1.4404 eV/atom

The following is a PBE-GGA calculation of an optimized crystal structure of Cs2HI6O, from Alexandria.

a b c (Å): 7.5181 7.5181 8.3474
angles (deg): 63.24 63.24 90.00
Fractional coordinates of all 10 atoms:
Cs  0.7500  0.2500  0.5000
Cs  0.2500  0.7500  0.5000
I  0.1883  0.1883  0.6234
I  0.8117  0.8117  0.3766
I  0.2715  0.2715  0.0000
I  0.7285  0.7285  0.0000
I  0.7285  0.2715  0.0000
I  0.2715  0.7285  0.0000
O  0.0000  0.0000  0.0000
H  0.5000  0.5000  0.0000

Output
electronic total energy = -21.65 eV per cell
V = 36.4 A^3/atom